(1)
DFT (PBE) results for crystalline Nd2Al3AgPt4 at its relaxed geometry.

Cell lengths 4.127, 4.127, 11.481 Å; angles 90.00, 90.00, 90.00 degrees
Element x y z (fractional)
Nd (0.000, 0.500, 0.247)
Nd (0.500, 0.000, 0.753)
Al (0.000, 0.000, 0.000)
Al (0.000, 0.500, 0.625)
Al (0.500, 0.000, 0.375)
Ag (0.500, 0.500, 0.000)
Pt (0.000, 0.000, 0.500)
Pt (0.000, 0.500, 0.841)
Pt (0.500, 0.000, 0.159)
Pt (0.500, 0.500, 0.500)

Computed properties:
**Symmetry**: P-4m2, No. 115
**Formation energy**: -953 meV per atom

=====

(2)
DFT (PBE) results for crystalline Nd2Al2AgPt5 at its relaxed geometry.

Cell lengths 10.010, 10.010, 3.735 Å; angles 90.00, 90.00, 90.00 degrees
Element x y z (fractional)
Nd (0.180, 0.320, 0.000)
Nd (0.320, 0.820, 0.000)
Nd (0.680, 0.180, 0.000)
Nd (0.820, 0.680, 0.000)
Al (0.119, 0.619, 0.000)
Al (0.381, 0.119, 0.000)
Al (0.619, 0.881, 0.000)
Al (0.881, 0.381, 0.000)
Ag (0.000, 0.000, 0.000)
Ag (0.500, 0.500, 0.000)
Pt (0.000, 0.500, 0.500)
Pt (0.062, 0.788, 0.500)
Pt (0.212, 0.062, 0.500)
Pt (0.288, 0.562, 0.500)
Pt (0.438, 0.288, 0.500)
Pt (0.500, 0.000, 0.500)
Pt (0.562, 0.712, 0.500)
Pt (0.712, 0.438, 0.500)
Pt (0.788, 0.938, 0.500)
Pt (0.938, 0.212, 0.500)

Computed properties:
**Symmetry**: P4/mbm, No. 127
**Formation energy**: -795 meV per atom

=====

(3)
DFT (PBE) results for crystalline NdAl4AgPt2 at its relaxed geometry.

Cell lengths 9.458, 9.458, 9.458 Å; angles 26.30, 26.30, 26.30 degrees
Element x y z (fractional)
Nd (0.000, 0.000, 0.000)
Al (0.127, 0.127, 0.127)
Al (0.403, 0.403, 0.403)
Al (0.597, 0.597, 0.597)
Al (0.873, 0.873, 0.873)
Ag (0.500, 0.500, 0.500)
Pt (0.239, 0.239, 0.239)
Pt (0.761, 0.761, 0.761)

Computed properties:
**Symmetry**: R-3m, No. 166
**Formation energy**: -696 meV per atom

=====

Please write out number 3 again, unchanged.
DFT (PBE) results for crystalline NdAl4AgPt2 at its relaxed geometry.

Cell lengths 9.458, 9.458, 9.458 Å; angles 26.30, 26.30, 26.30 degrees
Element x y z (fractional)
Nd (0.000, 0.000, 0.000)
Al (0.127, 0.127, 0.127)
Al (0.403, 0.403, 0.403)
Al (0.597, 0.597, 0.597)
Al (0.873, 0.873, 0.873)
Ag (0.500, 0.500, 0.500)
Pt (0.239, 0.239, 0.239)
Pt (0.761, 0.761, 0.761)

Computed properties:
**Symmetry**: R-3m, No. 166
**Formation energy**: -696 meV per atom

=====

Look up the formation energy of the second one. -795 meV per atom